# 1
DFT (meta-GGA SCAN) results for a PBEsol-optimized structure of NbSe2.

Lattice parameters (Å, degrees): 6.5685 6.5685 6.5685 30.19 30.19 30.19
Fractional positions:
Nb 0.0000 0.0000 0.0000
Se 0.5770 0.5770 0.5770
Se 0.7558 0.7558 0.7558

Properties
Raw total energy = -76.06 eV per cell



# 2
DFT (meta-GGA SCAN) results for a PBEsol-optimized structure of NbSe3.

Lattice parameters (Å, degrees): 5.2395 3.4476 9.3097 90.00 97.20 90.00
Fractional positions:
Nb 0.2130 0.2500 0.3339
Nb 0.7870 0.7500 0.6661
Se 0.0682 0.2500 0.8322
Se 0.2612 0.7500 0.5509
Se 0.4201 0.7500 0.1673
Se 0.5799 0.2500 0.8327
Se 0.7388 0.2500 0.4491
Se 0.9318 0.7500 0.1678

Properties
Raw total energy = -192.41 eV per cell



# 3
DFT (meta-GGA SCAN) results for a PBEsol-optimized structure of NbSe2.

Lattice parameters (Å, degrees): 3.4234 3.4234 24.8435 90.00 90.00 119.87
Fractional positions:
Nb 0.0007 0.9993 0.8772
Nb 0.4993 0.5007 0.3772
Nb 0.5007 0.4993 0.6228
Nb 0.9993 0.0007 0.1228
Se 0.1654 0.8346 0.3096
Se 0.1660 0.8340 0.4445
Se 0.3340 0.6660 0.9445
Se 0.3346 0.6654 0.8096
Se 0.6654 0.3346 0.1904
Se 0.6660 0.3340 0.0555
Se 0.8340 0.1660 0.5555
Se 0.8346 0.1654 0.6904

Properties
Raw total energy = -303.98 eV per cell



# 4
DFT (meta-GGA SCAN) results for a PBEsol-optimized structure of NbSi3Se.

Lattice parameters (Å, degrees): 4.6017 4.6017 4.6017 90.00 90.00 90.00
Fractional positions:
Nb 0.0000 0.0000 0.0000
Si 0.0000 0.5000 0.5000
Si 0.5000 0.0000 0.5000
Si 0.5000 0.5000 0.0000
Se 0.5000 0.5000 0.5000

Properties
Raw total energy = -76.15 eV per cell



# 5
DFT (meta-GGA SCAN) results for a PBEsol-optimized structure of NbSiSe3.

Lattice parameters (Å, degrees): 4.9713 4.9713 4.9713 90.00 90.00 90.00
Fractional positions:
Nb 0.0000 0.0000 0.0000
Si 0.5000 0.5000 0.5000
Se 0.0000 0.0000 0.5000
Se 0.0000 0.5000 0.0000
Se 0.5000 0.0000 0.0000

Properties
Raw total energy = -101.82 eV per cell



# 6
DFT (meta-GGA SCAN) results for a PBEsol-optimized structure of Nb2SnSe.

Lattice parameters (Å, degrees): 4.6732 4.6732 4.6732 60.00 60.00 60.00
Fractional positions:
Nb 0.2500 0.2500 0.2500
Nb 0.7500 0.7500 0.7500
Sn 0.0000 0.0000 0.0000
Se 0.5000 0.5000 0.5000

Properties
Raw total energy = -122.58 eV per cell



| no. | DOS(E_F) (states/eV/atom) |
| --- | --- |
| 1 | 0.352 |
| 2 | 0.310 |
| 3 | 0.989 |
| 4 | 0.781 |
| 5 | 0.781 |
| 6 | 0.462 |